Record 1
Material: YAg2Pt
Method: DFT, PBE
State: relaxed

Values from the calculation:
- space-group type = Pmm2 (25)
- calculated formation energy (eV/atom) = -0.4928
- volume (Å³/cell) = 80.0

Unit cell a=3.612 b=3.695 c=5.992 alpha=90.00 beta=90.00 gamma=90.00
Positions (direct):
Y 0.000 0.000 0.000
Ag 0.000 0.000 0.488
Ag 0.500 0.500 0.700
Pt 0.500 0.500 0.223

***

Record 2
Material: Y2AgPt
Method: DFT, PBE
State: relaxed

Values from the calculation:
- space-group type = P4/mmm (123)
- calculated formation energy (eV/atom) = -0.7805
- volume (Å³/cell) = 91.2

Unit cell a=3.564 b=3.564 c=7.182 alpha=90.00 beta=90.00 gamma=90.00
Positions (direct):
Y 0.000 0.000 0.236
Y 0.000 0.000 0.764
Ag 0.500 0.500 0.500
Pt 0.500 0.500 0.000

***

Record 3
Material: YZrAgPt
Method: DFT, PBE
State: relaxed

Values from the calculation:
- space-group type = F-43m (216)
- calculated formation energy (eV/atom) = -0.5659
- volume (Å³/cell) = 335.6

Unit cell a=6.949 b=6.949 c=6.949 alpha=90.00 beta=90.00 gamma=90.00
Positions (direct):
Y 0.000 0.000 0.000
Y 0.000 0.500 0.500
Y 0.500 0.000 0.500
Y 0.500 0.500 0.000
Zr 0.000 0.000 0.500
Zr 0.000 0.500 0.000
Zr 0.500 0.000 0.000
Zr 0.500 0.500 0.500
Ag 0.250 0.250 0.750
Ag 0.250 0.750 0.250
Ag 0.750 0.250 0.250
Ag 0.750 0.750 0.750
Pt 0.250 0.250 0.250
Pt 0.250 0.750 0.750
Pt 0.750 0.250 0.750
Pt 0.750 0.750 0.250

***

Record 4
Material: Yb2AgPt
Method: DFT, PBE
State: relaxed

Values from the calculation:
- space-group type = Fm-3m (225)
- calculated formation energy (eV/atom) = -0.7250
- volume (Å³/cell) = 359.3

Unit cell a=7.109 b=7.109 c=7.109 alpha=90.00 beta=90.00 gamma=90.00
Positions (direct):
Yb 0.250 0.250 0.250
Yb 0.250 0.250 0.750
Yb 0.250 0.750 0.250
Yb 0.250 0.750 0.750
Yb 0.750 0.250 0.250
Yb 0.750 0.250 0.750
Yb 0.750 0.750 0.250
Yb 0.750 0.750 0.750
Ag 0.000 0.000 0.000
Ag 0.000 0.500 0.500
Ag 0.500 0.000 0.500
Ag 0.500 0.500 0.000
Pt 0.000 0.000 0.500
Pt 0.000 0.500 0.000
Pt 0.500 0.000 0.000
Pt 0.500 0.500 0.500

***

Record 5
Material: Zn5Ag2Pt
Method: DFT, PBE
State: relaxed

Values from the calculation:
- space-group type = I4/mmm (139)
- calculated formation energy (eV/atom) = -0.1999
- volume (Å³/cell) = 245.9

Unit cell a=3.984 b=3.984 c=15.491 alpha=90.00 beta=90.00 gamma=90.00
Positions (direct):
Zn 0.000 0.000 0.000
Zn 0.000 0.500 0.119
Zn 0.000 0.500 0.381
Zn 0.000 0.500 0.619
Zn 0.000 0.500 0.881
Zn 0.500 0.000 0.119
Zn 0.500 0.000 0.381
Zn 0.500 0.000 0.619
Zn 0.500 0.000 0.881
Zn 0.500 0.500 0.500
Ag 0.000 0.000 0.249
Ag 0.000 0.000 0.751
Ag 0.500 0.500 0.251
Ag 0.500 0.500 0.749
Pt 0.000 0.000 0.500
Pt 0.500 0.500 0.000

***

Record 6
Material: Zn6Ag3Pt
Method: DFT, PBE
State: relaxed

Values from the calculation:
- space-group type = P2_1/c (14)
- calculated formation energy (eV/atom) = -0.0888
- volume (Å³/cell) = 333.7

Unit cell a=6.816 b=6.847 c=7.922 alpha=90.00 beta=115.49 gamma=90.00
Positions (direct):
Zn 0.011 0.229 0.240
Zn 0.011 0.271 0.740
Zn 0.296 0.215 0.095
Zn 0.296 0.285 0.595
Zn 0.343 0.504 0.330
Zn 0.343 0.996 0.830
Zn 0.657 0.004 0.170
Zn 0.657 0.496 0.670
Zn 0.704 0.715 0.405
Zn 0.704 0.785 0.905
Zn 0.989 0.729 0.260
Zn 0.989 0.771 0.760
Ag 0.285 0.672 0.621
Ag 0.285 0.828 0.121
Ag 0.500 0.000 0.500
Ag 0.500 0.500 0.000
Ag 0.715 0.172 0.879
Ag 0.715 0.328 0.379
Pt 0.000 0.000 0.500
Pt 0.000 0.500 0.000

***

Record 7
Material: ZnAgPt
Method: DFT, PBE
State: relaxed

Values from the calculation:
- space-group type = Imm2 (44)
- calculated formation energy (eV/atom) = -0.2354
- volume (Å³/cell) = 95.7

Unit cell a=2.871 b=3.689 c=9.039 alpha=90.00 beta=90.00 gamma=90.00
Positions (direct):
Zn 0.000 0.000 0.000
Zn 0.500 0.500 0.500
Ag 0.000 0.000 0.676
Ag 0.500 0.500 0.176
Pt 0.000 0.000 0.362
Pt 0.500 0.500 0.862

***

Record 8
Material: Zn4AgPt15
Method: DFT, PBE
State: relaxed

Values from the calculation:
- space-group type = P4/mmm (123)
- calculated formation energy (eV/atom) = -0.2575
- volume (Å³/cell) = 307.1

Unit cell a=3.940 b=3.940 c=19.789 alpha=90.00 beta=90.00 gamma=90.00
Positions (direct):
Zn 0.000 0.000 0.099
Zn 0.000 0.000 0.297
Zn 0.000 0.000 0.703
Zn 0.000 0.000 0.901
Ag 0.000 0.000 0.500
Pt 0.000 0.500 0.000
Pt 0.000 0.500 0.198
Pt 0.000 0.500 0.396
Pt 0.000 0.500 0.604
Pt 0.000 0.500 0.802
Pt 0.500 0.000 0.000
Pt 0.500 0.000 0.198
Pt 0.500 0.000 0.396
Pt 0.500 0.000 0.604
Pt 0.500 0.000 0.802
Pt 0.500 0.500 0.100
Pt 0.500 0.500 0.297
Pt 0.500 0.500 0.500
Pt 0.500 0.500 0.703
Pt 0.500 0.500 0.900

***

Record 9
Material: Zn2AgPt2
Method: DFT, PBE
State: relaxed

Values from the calculation:
- space-group type = I4/mmm (139)
- calculated formation energy (eV/atom) = -0.1308
- volume (Å³/cell) = 172.6

Unit cell a=3.910 b=3.910 c=11.288 alpha=90.00 beta=90.00 gamma=90.00
Positions (direct):
Zn 0.000 0.000 0.106
Zn 0.000 0.000 0.894
Zn 0.500 0.500 0.394
Zn 0.500 0.500 0.606
Ag 0.000 0.000 0.500
Ag 0.500 0.500 0.000
Pt 0.000 0.500 0.250
Pt 0.000 0.500 0.750
Pt 0.500 0.000 0.250
Pt 0.500 0.000 0.750

***

Record 10
Material: Zn5Ag4Pt
Method: DFT, PBE
State: relaxed

Values from the calculation:
- space-group type = I4 (79)
- calculated formation energy (eV/atom) = -0.0159
- volume (Å³/cell) = 171.4

Unit cell a=6.322 b=6.322 c=6.322 alpha=99.49 beta=99.49 gamma=132.09
Positions (direct):
Zn 0.000 0.000 0.000
Zn 0.480 0.595 0.636
Zn 0.595 0.960 0.115
Zn 0.844 0.480 0.885
Zn 0.960 0.844 0.364
Ag 0.168 0.553 0.276
Ag 0.277 0.893 0.724
Ag 0.553 0.277 0.385
Ag 0.893 0.168 0.615
Pt 0.477 0.477 0.000

***

Record 11
Material: Zn10Ag6Pt
Method: DFT, PBE
State: relaxed

Values from the calculation:
- space-group type = P-31m (162)
- calculated formation energy (eV/atom) = -0.0434
- volume (Å³/cell) = 277.7

Unit cell a=7.771 b=7.771 c=5.309 alpha=90.00 beta=90.00 gamma=120.00
Positions (direct):
Zn 0.000 0.260 0.304
Zn 0.000 0.740 0.696
Zn 0.260 0.000 0.304
Zn 0.260 0.260 0.696
Zn 0.333 0.667 0.000
Zn 0.333 0.667 0.500
Zn 0.667 0.333 0.000
Zn 0.667 0.333 0.500
Zn 0.740 0.000 0.696
Zn 0.740 0.740 0.304
Ag 0.000 0.384 0.781
Ag 0.000 0.616 0.219
Ag 0.384 0.000 0.781
Ag 0.384 0.384 0.219
Ag 0.616 0.000 0.219
Ag 0.616 0.616 0.781
Pt 0.000 0.000 0.000

***

Record 12
Material: Zn4AgPt5
Method: DFT, PBE
State: relaxed

Values from the calculation:
- space-group type = P4/mmm (123)
- calculated formation energy (eV/atom) = -0.4564
- volume (Å³/cell) = 150.1

Unit cell a=2.895 b=2.895 c=17.913 alpha=90.00 beta=90.00 gamma=90.00
Positions (direct):
Zn 0.000 0.000 0.097
Zn 0.000 0.000 0.292
Zn 0.000 0.000 0.708
Zn 0.000 0.000 0.903
Ag 0.000 0.000 0.500
Pt 0.500 0.500 0.000
Pt 0.500 0.500 0.194
Pt 0.500 0.500 0.385
Pt 0.500 0.500 0.615
Pt 0.500 0.500 0.806

***

Record 13
Material: Zn2AgPt2
Method: DFT, PBE
State: relaxed

Values from the calculation:
- space-group type = P4/mbm (127)
- calculated formation energy (eV/atom) = -0.3715
- volume (Å³/cell) = 159.9

Unit cell a=7.465 b=7.465 c=2.870 alpha=90.00 beta=90.00 gamma=90.00
Positions (direct):
Zn 0.160 0.340 0.000
Zn 0.340 0.840 0.000
Zn 0.660 0.160 0.000
Zn 0.840 0.660 0.000
Ag 0.000 0.000 0.500
Ag 0.500 0.500 0.500
Pt 0.138 0.638 0.500
Pt 0.362 0.138 0.500
Pt 0.638 0.862 0.500
Pt 0.862 0.362 0.500

***

Record 14
Material: Zn5AgPt4
Method: DFT, PBE
State: relaxed

Values from the calculation:
- space-group type = P4/mmm (123)
- calculated formation energy (eV/atom) = -0.4637
- volume (Å³/cell) = 149.5

Unit cell a=2.875 b=2.875 c=18.094 alpha=90.00 beta=90.00 gamma=90.00
Positions (direct):
Zn 0.000 0.000 0.000
Zn 0.000 0.000 0.195
Zn 0.000 0.000 0.390
Zn 0.000 0.000 0.610
Zn 0.000 0.000 0.805
Ag 0.500 0.500 0.500
Pt 0.500 0.500 0.098
Pt 0.500 0.500 0.294
Pt 0.500 0.500 0.706
Pt 0.500 0.500 0.902

***

Record 15
Material: Zn5Ag4Pt
Method: DFT, PBE
State: relaxed

Values from the calculation:
- space-group type = P4/mmm (123)
- calculated formation energy (eV/atom) = -0.1415
- volume (Å³/cell) = 158.8

Unit cell a=2.898 b=2.898 c=18.908 alpha=90.00 beta=90.00 gamma=90.00
Positions (direct):
Zn 0.000 0.000 0.000
Zn 0.000 0.000 0.203
Zn 0.000 0.000 0.408
Zn 0.000 0.000 0.592
Zn 0.000 0.000 0.797
Ag 0.500 0.500 0.102
Ag 0.500 0.500 0.304
Ag 0.500 0.500 0.696
Ag 0.500 0.500 0.898
Pt 0.500 0.500 0.500

***

Record 16
Material: ZnAgPt14
Method: DFT, PBE
State: relaxed

Values from the calculation:
- space-group type = Amm2 (38)
- calculated formation energy (eV/atom) = -0.0571
- volume (Å³/cell) = 251.2

Unit cell a=9.332 b=5.584 c=5.584 alpha=59.67 beta=90.00 gamma=90.00
Positions (direct):
Zn 0.000 0.000 0.000
Ag 0.000 0.504 0.504
Pt 0.000 0.004 0.506
Pt 0.000 0.506 0.004
Pt 0.243 0.161 0.161
Pt 0.248 0.162 0.664
Pt 0.248 0.664 0.162
Pt 0.250 0.664 0.664
Pt 0.500 0.324 0.324
Pt 0.500 0.324 0.825
Pt 0.500 0.825 0.324
Pt 0.500 0.825 0.825
Pt 0.750 0.664 0.664
Pt 0.752 0.162 0.664
Pt 0.752 0.664 0.162
Pt 0.757 0.161 0.161

***

Record 17
Material: ZnAgPt
Method: DFT, PBE
State: relaxed

Values from the calculation:
- space-group type = Amm2 (38)
- calculated formation energy (eV/atom) = -0.1651
- volume (Å³/cell) = 190.9

Unit cell a=13.394 b=2.868 c=4.969 alpha=90.00 beta=90.00 gamma=90.00
Positions (direct):
Zn 0.168 0.000 0.000
Zn 0.168 0.500 0.500
Zn 0.832 0.000 0.000
Zn 0.832 0.500 0.500
Ag 0.000 0.000 0.333
Ag 0.000 0.500 0.833
Ag 0.500 0.000 0.001
Ag 0.500 0.500 0.501
Pt 0.321 0.000 0.334
Pt 0.321 0.500 0.834
Pt 0.679 0.000 0.334
Pt 0.679 0.500 0.834

***

Record 18
Material: Zn6Ag3Pt
Method: DFT, PBE
State: relaxed

Values from the calculation:
- space-group type = P2_1/m (11)
- calculated formation energy (eV/atom) = -0.1295
- volume (Å³/cell) = 313.3

Unit cell a=7.480 b=4.512 c=9.977 alpha=90.00 beta=111.51 gamma=90.00
Positions (direct):
Zn 0.002 0.250 0.337
Zn 0.003 0.250 0.822
Zn 0.200 0.250 0.641
Zn 0.226 0.750 0.972
Zn 0.391 0.250 0.429
Zn 0.418 0.750 0.787
Zn 0.582 0.250 0.213
Zn 0.609 0.750 0.571
Zn 0.774 0.250 0.028
Zn 0.800 0.750 0.359
Zn 0.997 0.750 0.178
Zn 0.998 0.750 0.663
Ag 0.168 0.250 0.121
Ag 0.210 0.750 0.484
Ag 0.404 0.750 0.273
Ag 0.596 0.250 0.727
Ag 0.790 0.250 0.516
Ag 0.832 0.750 0.879
Pt 0.384 0.250 0.923
Pt 0.616 0.750 0.077

***

Record 19
Material: Zn5AgPt2
Method: DFT, PBE
State: relaxed

Values from the calculation:
- space-group type = C2/m (12)
- calculated formation energy (eV/atom) = -0.2735
- volume (Å³/cell) = 242.5

Unit cell a=12.459 b=4.572 c=4.571 alpha=90.00 beta=111.38 gamma=90.00
Positions (direct):
Zn 0.000 0.000 0.000
Zn 0.130 0.000 0.631
Zn 0.130 0.500 0.130
Zn 0.370 0.000 0.870
Zn 0.370 0.500 0.369
Zn 0.500 0.500 0.000
Zn 0.630 0.000 0.130
Zn 0.630 0.500 0.631
Zn 0.870 0.000 0.369
Zn 0.870 0.500 0.870
Ag 0.000 0.500 0.500
Ag 0.500 0.000 0.500
Pt 0.241 0.000 0.242
Pt 0.259 0.500 0.758
Pt 0.741 0.500 0.242
Pt 0.759 0.000 0.758

***

Record 20
Material: ZnAgPt6
Method: DFT, PBE
State: relaxed

Values from the calculation:
- space-group type = P4/mmm (123)
- calculated formation energy (eV/atom) = -0.1437
- volume (Å³/cell) = 125.0

Unit cell a=3.974 b=3.974 c=7.913 alpha=90.00 beta=90.00 gamma=90.00
Positions (direct):
Zn 0.000 0.000 0.000
Ag 0.000 0.000 0.500
Pt 0.000 0.500 0.242
Pt 0.000 0.500 0.758
Pt 0.500 0.000 0.242
Pt 0.500 0.000 0.758
Pt 0.500 0.500 0.000
Pt 0.500 0.500 0.500

***

Record 21
Material: ZnAg2Pt2
Method: DFT, PBE
State: relaxed

Values from the calculation:
- space-group type = P4/mbm (127)
- calculated formation energy (eV/atom) = 0.2352
- volume (Å³/cell) = 178.4

Unit cell a=7.855 b=7.855 c=2.892 alpha=90.00 beta=90.00 gamma=90.00
Positions (direct):
Zn 0.000 0.000 0.000
Zn 0.500 0.500 0.000
Ag 0.126 0.374 0.000
Ag 0.374 0.874 0.000
Ag 0.626 0.126 0.000
Ag 0.874 0.626 0.000
Pt 0.172 0.672 0.500
Pt 0.328 0.172 0.500
Pt 0.672 0.828 0.500
Pt 0.828 0.328 0.500

***

Record 22
Material: Zn2AgPt2
Method: DFT, PBE
State: relaxed

Values from the calculation:
- space-group type = I4/mmm (139)
- calculated formation energy (eV/atom) = -0.1419
- volume (Å³/cell) = 173.5

Unit cell a=3.805 b=3.805 c=11.986 alpha=90.00 beta=90.00 gamma=90.00
Positions (direct):
Zn 0.000 0.500 0.250
Zn 0.000 0.500 0.750
Zn 0.500 0.000 0.250
Zn 0.500 0.000 0.750
Ag 0.000 0.000 0.000
Ag 0.500 0.500 0.500
Pt 0.000 0.000 0.391
Pt 0.000 0.000 0.609
Pt 0.500 0.500 0.109
Pt 0.500 0.500 0.891

***

Record 23
Material: Zn4AgPt2
Method: DFT, PBE
State: relaxed

Values from the calculation:
- space-group type = C2/m (12)
- calculated formation energy (eV/atom) = -0.0412
- volume (Å³/cell) = 230.5

Unit cell a=9.893 b=4.798 c=4.945 alpha=90.00 beta=100.80 gamma=90.00
Positions (direct):
Zn 0.000 0.000 0.000
Zn 0.000 0.500 0.500
Zn 0.242 0.000 0.325
Zn 0.258 0.500 0.675
Zn 0.500 0.000 0.500
Zn 0.500 0.500 0.000
Zn 0.742 0.500 0.325
Zn 0.758 0.000 0.675
Ag 0.000 0.000 0.500
Ag 0.500 0.500 0.500
Pt 0.151 0.500 0.128
Pt 0.349 0.000 0.872
Pt 0.651 0.000 0.128
Pt 0.849 0.500 0.872

***

| no. | N(E_F) (states/eV per cell) |
| --- | --- |
| 1 | 1.04 |
| 2 | 3.05 |
| 3 | 15.02 |
| 4 | 117.58 |
| 5 | 2.77 |
| 6 | 7.56 |
| 7 | 1.58 |
| 8 | 18.69 |
| 9 | 3.10 |
| 10 | 3.70 |
| 11 | 4.39 |
| 12 | 2.99 |
| 13 | 2.94 |
| 14 | 2.34 |
| 15 | 2.13 |
| 16 | 24.11 |
| 17 | 6.31 |
| 18 | 5.85 |
| 19 | 4.28 |
| 20 | 9.71 |
| 21 | 7.75 |
| 22 | 4.18 |
| 23 | 4.41 |